First-principles (PBE) data for Cd5In after structural relaxation, as listed in Alexandria.

Unit cell a=10.4442 b=3.1566 c=9.0873 alpha=90.00 beta=110.15 gamma=90.00
Closest atoms and distances in Å follow each position.
Space group C2/m (No. 12)
Asymmetric unit:
Cd 0.0000 0.0000 0.0000  12 Cd 3.06-3.29
Cd 0.1656 0.5000 0.8390  10 Cd 3.06-3.30, 2 In 3.36
Cd 0.1693 0.5000 0.3258  9 Cd 3.08-3.42, 3 In 3.17-3.27
In 0.0000 0.0000 0.5000  2 In 3.16, 10 Cd 3.17-3.36

M_tot = 0.0 μB per cell
DFT formation energy = 0.02 eV/atom
energy above the most stable polymorph in this dataset = 0.6 kJ per mole of atoms